1.
An optimized crystal structure of BaEr2Ga. Source: the Alexandria database, functional PBE.

## Properties
Energy of formation in eV/atom: 0.01
Symmetry: No. 166

Lattice parameters (Å, degrees): 11.6390 11.6390 11.6390 17.98 17.98 17.98
Closest atoms and distances in Å follow each position.
Element x y z (fractional)
1 Ba 0.0000 0.0000 0.0000  6 Ba 3.64, 2 Er 3.66
2 Er 0.1064 0.1064 0.1064  3 Ga 2.95
3 Er 0.8936 0.8936 0.8936  3 Ga 2.95
4 Ga 0.5000 0.5000 0.5000  6 Er 2.95

***

2.
An optimized crystal structure of BaErGa2. Source: the Alexandria database, functional PBE.

## Properties
Energy of formation in eV/atom: -0.45
Symmetry: No. 123
ΔE to the lowest computed polymorph in kcal/mol of atoms: 0.00

Lattice parameters (Å, degrees): 3.7794 3.7794 7.7051 90.00 90.00 90.00
Closest atoms and distances in Å follow each position.
Element x y z (fractional)
1 Ba 0.0000 0.0000 0.0000  8 Ga 3.56, 4 Ba 3.78, 2 Er 3.85
2 Er 0.0000 0.0000 0.5000  8 Ga 3.07
3 Ga 0.5000 0.5000 0.3050  1 Ga 3.01, 4 Er 3.07
4 Ga 0.5000 0.5000 0.6950  1 Ga 3.01, 4 Er 3.07

***

3.
An optimized crystal structure of BaErGa2. Source: the Alexandria database, functional PBE.

## Properties
Energy of formation in eV/atom: -0.17
Symmetry: No. 166
ΔE to the lowest computed polymorph in kcal/mol of atoms: 6.29

Lattice parameters (Å, degrees): 9.6627 9.6627 9.6627 22.83 22.83 22.83
Closest atoms and distances in Å follow each position.
Element x y z (fractional)
1 Ba 0.0000 0.0000 0.0000  6 Ga 3.43, 6 Ba 3.82
2 Er 0.5000 0.5000 0.5000  6 Ga 3.04
3 Ga 0.2405 0.2405 0.2405  3 Er 3.04
4 Ga 0.7595 0.7595 0.7595  3 Er 3.04

***

4.
An optimized crystal structure of Ba6Er2Ga4O15. Source: the Alexandria database, functional PBE.

## Properties
Symmetry: No. 13
Formation energy from raw total energies in eV per atom: -2.620

Lattice parameters (Å, degrees): 8.0232 6.0253 18.6390 90.00 91.29 90.00
Closest atoms and distances in Å follow each position.
Element x y z (fractional)
1 Ba 0.0000 0.1721 0.2500  8 O 2.75-3.04
2 Ba 0.0003 0.2543 0.5790  2 O 2.55-2.82
3 Ba 0.9997 0.2543 0.9210  2 O 2.55-2.82
4 Ba 0.0003 0.7457 0.0790  2 O 2.55-2.82
5 Ba 0.9997 0.7457 0.4210  2 O 2.55-2.82
6 Ba 0.0000 0.8279 0.7500  8 O 2.75-3.04
7 Ba 0.4738 0.2502 0.9100  7 O 2.76-3.01
8 Ba 0.4738 0.7498 0.4100  7 O 2.76-3.01
9 Ba 0.5000 0.2248 0.2500  7 O 2.70-3.02
10 Ba 0.5000 0.7752 0.7500  7 O 2.70-3.02
11 Ba 0.5262 0.2502 0.5900  7 O 2.76-3.01
12 Ba 0.5262 0.7498 0.0900  7 O 2.76-3.01
13 Er 0.2527 0.2482 0.0895  6 O 2.20-2.37
14 Er 0.2527 0.7518 0.5895  6 O 2.20-2.37
15 Er 0.7473 0.2482 0.4105  6 O 2.20-2.37
16 Er 0.7473 0.7518 0.9105  6 O 2.20-2.37
17 Ga 0.2544 0.2456 0.4426  4 O 1.88-1.90
18 Ga 0.2544 0.7544 0.9426  4 O 1.88-1.90
19 Ga 0.2702 0.2726 0.7326  4 O 1.82-1.89
20 Ga 0.2702 0.7274 0.2326  4 O 1.82-1.89
21 Ga 0.7298 0.2726 0.7674  4 O 1.82-1.89
22 Ga 0.7298 0.7274 0.2674  4 O 1.82-1.89
23 Ga 0.7456 0.2456 0.0574  4 O 1.88-1.90
24 Ga 0.7456 0.7544 0.5574  4 O 1.88-1.90
25 O 0.0311 0.2555 0.4104  1 Ga 1.88
26 O 0.0311 0.7445 0.9104  1 Ga 1.88
27 O 0.1885 0.1661 0.8163  1 Ga 1.82
28 O 0.1885 0.8339 0.3163  1 Ga 1.82
29 O 0.2227 0.4580 0.1888  1 Ga 1.85
30 O 0.2227 0.5420 0.6888  1 Ga 1.85
31 O 0.2535 0.0464 0.6625  1 Ga 1.89
32 O 0.2535 0.9536 0.1625  1 Ga 1.89
33 O 0.2661 0.0153 0.9982  1 Ga 1.88
34 O 0.2661 0.9847 0.4982  1 Ga 1.88
35 O 0.2668 0.4842 0.5093  1 Ga 1.90
36 O 0.2668 0.5158 0.0093  1 Ga 1.90
37 O 0.4538 0.2662 0.3922  1 Ga 1.88
38 O 0.4538 0.7338 0.8922  1 Ga 1.88
39 O 0.5000 0.3068 0.7500  2 Ga 1.88
40 O 0.5000 0.6932 0.2500  2 Ga 1.88
41 O 0.5462 0.2662 0.1078  1 Ga 1.88
42 O 0.5462 0.7338 0.6078  1 Ga 1.88
43 O 0.7332 0.4842 0.9907  1 Ga 1.90
44 O 0.7332 0.5158 0.4907  1 Ga 1.90
45 O 0.7339 0.0153 0.5018  1 Ga 1.88
46 O 0.7339 0.9847 0.0018  1 Ga 1.88
47 O 0.7465 0.0464 0.8375  1 Ga 1.89
48 O 0.7465 0.9536 0.3375  1 Ga 1.89
49 O 0.7773 0.4580 0.3112  1 Ga 1.85
50 O 0.7773 0.5420 0.8112  1 Ga 1.85
51 O 0.8115 0.1661 0.6837  1 Ga 1.82
52 O 0.8115 0.8339 0.1837  1 Ga 1.82
53 O 0.9689 0.2555 0.0896  1 Ga 1.88
54 O 0.9689 0.7445 0.5896  1 Ga 1.88

***

Magnetization for the records above, in order: 0.2, 0.0, 0.0, 0.0 μB/f.u.
DFT total energy for the records above, in order: -3.506, -3.580, -3.307, -6.588 eV per atom